(1)
Cu2Bi2Pt: optimized geometry, PBE-GGA.

a = 6.925 Å, b = 6.925 Å, c = 4.073 Å
α = 90.00°, β = 90.00°, γ = 90.00°
Fractional coordinates of all 10 atoms:
Pt  0.500  0.500  0.000
Pt  0.000  0.000  0.000
Cu  0.629  0.129  0.000
Cu  0.371  0.871  0.000
Cu  0.871  0.629  0.000
Cu  0.129  0.371  0.000
Bi  0.677  0.823  0.500
Bi  0.177  0.677  0.500
Bi  0.823  0.323  0.500
Bi  0.323  0.177  0.500

Results
**ΔE_f**: 0.09 eV per atom
**Calculated volume**: 98 Å³/f.u.
**Space group**: No. 127
**Magnetization**: 0.00 μB per formula unit

---

(2)
CuBiPtRh2: optimized geometry, PBE-GGA.

a = 4.541 Å, b = 4.803 Å, c = 4.541 Å
α = 90.00°, β = 90.00°, γ = 90.00°
Last column: magnetic moment on the atom in μB.
Fractional coordinates of all 5 atoms:
Rh  0.000  0.000  0.500  0.12
Rh  0.500  0.000  0.000  0.15
Cu  0.000  0.000  0.000  0.00
Bi  0.000  0.500  0.000  0.00
Pt  0.500  0.500  0.500  0.10

Results
**ΔE_f**: 1.03 eV per atom
**Calculated volume**: 99 Å³/f.u.
**Space group**: No. 123
**Magnetization**: 0.35 μB per formula unit

---

(3)
CuBiPtRh: optimized geometry, PBE-GGA.

a = 4.584 Å, b = 4.584 Å, c = 4.584 Å
α = 60.00°, β = 60.00°, γ = 60.00°
Fractional coordinates of all 4 atoms:
Rh  0.250  0.250  0.250
Cu  0.500  0.500  0.500
Bi  0.000  0.000  0.000
Pt  0.750  0.750  0.750

Results
**ΔE_f**: 0.04 eV per atom
**Calculated volume**: 68 Å³/f.u.
**Space group**: No. 216
**Magnetization**: 0.00 μB per formula unit

---

(4)
CuBi2RuPt: optimized geometry, PBE-GGA.

a = 5.042 Å, b = 4.643 Å, c = 5.042 Å
α = 90.00°, β = 90.00°, γ = 90.00°
Last column: magnetic moment on the atom in μB.
Fractional coordinates of all 5 atoms:
Bi  0.500  0.000  0.000  -0.04
Bi  0.000  0.000  0.500  -0.01
Pt  0.000  0.500  0.000  0.08
Cu  0.000  0.000  0.000  0.01
Ru  0.500  0.500  0.500  1.97

Results
**ΔE_f**: 1.02 eV per atom
**Calculated volume**: 118 Å³/f.u.
**Space group**: No. 123
**Magnetization**: 2.16 μB per formula unit

---

(5)
CuBiPtS3: optimized geometry, PBE-GGA.

a = 5.011 Å, b = 7.820 Å, c = 12.658 Å
α = 90.00°, β = 90.00°, γ = 90.00°
Fractional coordinates of all 24 atoms:
Bi  0.407  0.883  0.131
Bi  0.093  0.117  0.631
Bi  0.593  0.383  0.369
Bi  0.907  0.617  0.869
S  0.735  0.862  0.588
S  0.265  0.362  0.912
S  0.765  0.138  0.088
S  0.764  0.883  0.296
S  0.742  0.371  0.589
S  0.736  0.117  0.796
S  0.264  0.617  0.704
S  0.235  0.638  0.412
S  0.242  0.129  0.411
S  0.236  0.383  0.204
S  0.258  0.871  0.911
S  0.758  0.629  0.089
Pt  0.005  0.634  0.249
Pt  0.495  0.366  0.749
Pt  0.505  0.866  0.751
Pt  0.995  0.134  0.251
Cu  0.023  0.116  0.940
Cu  0.977  0.616  0.560
Cu  0.477  0.884  0.440
Cu  0.523  0.384  0.060

Results
**Energy relative to the elements, uncorrected**: -378 meV/atom
**Calculated volume**: 124 Å³/f.u.
**Space group**: No. 19
**Magnetization**: 0.00 μB per formula unit

---

(6)
CuBi2Sb2Pt7: optimized geometry, PBE-GGA.

a = 4.004 Å, b = 4.004 Å, c = 16.132 Å
α = 82.87°, β = 82.87°, γ = 89.96°
Fractional coordinates of all 12 atoms:
Sb  0.384  0.384  0.231
Sb  0.616  0.616  0.769
Cu  0.000  0.000  0.000
Pt  0.698  0.698  0.604
Pt  0.302  0.302  0.396
Pt  0.438  0.938  0.122
Pt  0.062  0.562  0.878
Pt  0.500  0.500  0.000
Pt  0.562  0.062  0.878
Pt  0.938  0.438  0.122
Bi  0.213  0.213  0.574
Bi  0.787  0.787  0.426

Results
**Energy relative to the elements, uncorrected**: -254 meV/atom
**Calculated volume**: 255 Å³/f.u.
**Space group**: No. 12
**Magnetization**: 0.00 μB per formula unit

---

(7)
SmCuBiPt: optimized geometry, PBE-GGA.

a = 4.944 Å, b = 4.944 Å, c = 4.944 Å
α = 60.00°, β = 60.00°, γ = 60.00°
Fractional coordinates of all 4 atoms:
Sm  0.000  0.000  0.000
Cu  0.250  0.250  0.250
Bi  0.500  0.500  0.500
Pt  0.750  0.750  0.750

Results
**ΔE_f**: -0.50 eV per atom
**Calculated volume**: 85 Å³/f.u.
**Space group**: No. 216
**Magnetization**: 0.00 μB per formula unit

---

(8)
ThCuBiPt: optimized geometry, PBE-GGA.

a = 5.005 Å, b = 5.005 Å, c = 5.005 Å
α = 60.00°, β = 60.00°, γ = 60.00°
Fractional coordinates of all 4 atoms:
Pt  0.250  0.250  0.250
Th  0.000  0.000  0.000
Cu  0.750  0.750  0.750
Bi  0.500  0.500  0.500

Results
**ΔE_f**: -0.50 eV per atom
**Calculated volume**: 89 Å³/f.u.
**Space group**: No. 216
**Magnetization**: 0.00 μB per formula unit

---

(9)
TiCuBiPt2: optimized geometry, PBE-GGA.

a = 4.665 Å, b = 4.798 Å, c = 4.665 Å
α = 90.00°, β = 90.00°, γ = 90.00°
Fractional coordinates of all 5 atoms:
Cu  0.000  0.000  0.000
Bi  0.000  0.500  0.000
Pt  0.000  0.000  0.500
Pt  0.500  0.000  0.000
Ti  0.500  0.500  0.500

Results
**ΔE_f**: 0.62 eV per atom
**Calculated volume**: 104 Å³/f.u.
**Space group**: No. 123
**Magnetization**: 0.00 μB per formula unit

---

(10)
UCuBiPt: optimized geometry, PBE-GGA.

a = 4.891 Å, b = 4.891 Å, c = 4.891 Å
α = 60.00°, β = 60.00°, γ = 60.00°
Last column: magnetic moment on the atom in μB.
Fractional coordinates of all 4 atoms:
Cu  0.750  0.750  0.750  -0.01
Pt  0.250  0.250  0.250  -0.09
Bi  0.500  0.500  0.500  -0.01
U  0.000  0.000  0.000  2.10

Results
**ΔE_f**: -0.13 eV per atom
**Calculated volume**: 83 Å³/f.u.
**Space group**: No. 216
**Magnetization**: 2.16 μB per formula unit

---

(11)
ZnCu2BiPt: optimized geometry, PBE-GGA.

a = 4.929 Å, b = 5.238 Å, c = 4.929 Å
α = 90.00°, β = 90.00°, γ = 90.00°
Fractional coordinates of all 5 atoms:
Zn  0.500  0.500  0.500
Cu  0.000  0.000  0.500
Cu  0.500  0.000  0.000
Pt  0.000  0.500  0.000
Bi  0.000  0.000  0.000

Results
**ΔE_f**: 0.92 eV per atom
**Calculated volume**: 127 Å³/f.u.
**Space group**: No. 123
**Magnetization**: 0.00 μB per formula unit

---

(12)
PuCu4Bi: optimized geometry, PBE-GGA.

a = 5.284 Å, b = 5.284 Å, c = 5.284 Å
α = 60.00°, β = 60.00°, γ = 60.00°
Last column: magnetic moment on the atom in μB.
Fractional coordinates of all 6 atoms:
Cu  0.128  0.624  0.624  0.01
Cu  0.624  0.624  0.624  0.01
Cu  0.624  0.128  0.624  0.01
Cu  0.624  0.624  0.128  0.01
Pu  0.250  0.250  0.250  5.36
Bi  0.000  0.000  0.000  -0.02

Results
**ΔE_f**: 0.01 eV per atom
**Calculated volume**: 104 Å³/f.u.
**Space group**: No. 216
**Magnetization**: 5.65 μB per formula unit

---

(13)
PuCuBi: optimized geometry, PBE-GGA.

a = 4.184 Å, b = 4.543 Å, c = 4.543 Å
α = 120.00°, β = 90.00°, γ = 90.00°
Last column: magnetic moment on the atom in μB.
Fractional coordinates of all 3 atoms:
Bi  0.166  0.000  0.000  -0.10
Cu  0.167  0.667  0.333  0.01
Pu  0.667  0.333  0.667  5.53

Results
**ΔE_f**: -0.11 eV per atom
**Calculated volume**: 75 Å³/f.u.
**Space group**: No. 187
**Magnetization**: 6.00 μB per formula unit

---

(14)
PuCuBi: optimized geometry, PBE-GGA.

a = 4.131 Å, b = 4.131 Å, c = 5.320 Å
α = 112.85°, β = 112.85°, γ = 90.00°
Last column: magnetic moment on the atom in μB.
Fractional coordinates of all 3 atoms:
Cu  0.956  0.956  0.911  -0.01
Bi  0.275  0.275  0.549  -0.07
Pu  0.620  0.620  0.240  5.38

Results
**ΔE_f**: 0.13 eV per atom
**Calculated volume**: 76 Å³/f.u.
**Space group**: No. 107
**Magnetization**: 5.62 μB per formula unit

---

(15)
Pu4Cu3Bi8: optimized geometry, PBE-GGA.

a = 4.543 Å, b = 4.543 Å, c = 18.624 Å
α = 90.00°, β = 90.00°, γ = 90.00°
Last column: magnetic moment on the atom in μB.
Fractional coordinates of all 15 atoms:
Bi  0.500  0.000  0.080  0.03
Bi  0.500  0.000  0.588  0.01
Bi  0.500  0.500  0.247  0.03
Bi  0.000  0.000  0.246  0.01
Bi  0.000  0.000  0.754  0.01
Bi  0.500  0.500  0.753  0.03
Bi  0.000  0.500  0.920  0.03
Bi  0.000  0.500  0.412  0.01
Pu  0.500  0.000  0.384  -0.07
Pu  0.500  0.000  0.889  -0.12
Pu  0.000  0.500  0.111  -0.12
Pu  0.000  0.500  0.616  -0.07
Cu  0.000  0.000  0.000  0.02
Cu  0.500  0.500  0.500  0.00
Cu  0.000  0.000  0.500  0.01

Results
**ΔE_f**: 0.39 eV per atom
**Calculated volume**: 384 Å³/f.u.
**Space group**: No. 115
**Magnetization**: 0.09 μB per formula unit

---

(16)
PuCuBi2S5: optimized geometry, PBE-GGA.

a = 3.989 Å, b = 9.017 Å, c = 12.625 Å
α = 90.00°, β = 90.00°, γ = 102.78°
Last column: magnetic moment on the atom in μB.
Fractional coordinates of all 18 atoms:
Bi  0.067  0.134  0.656  0.04
Bi  0.161  0.321  0.342  0.05
Bi  0.933  0.866  0.156  0.04
Bi  0.839  0.679  0.842  0.05
S  0.307  0.613  0.391  -0.07
S  0.354  0.709  0.002  -0.03
S  0.296  0.591  0.688  -0.07
S  0.958  0.915  0.515  -0.04
S  0.042  0.085  0.015  -0.04
S  0.693  0.387  0.891  -0.07
S  0.646  0.291  0.502  -0.03
S  0.500  0.000  0.765  0.00
S  0.500  0.000  0.265  0.00
S  0.704  0.409  0.188  -0.07
Cu  0.556  0.112  0.927  -0.03
Cu  0.444  0.888  0.427  -0.03
Pu  0.197  0.395  0.039  5.00
Pu  0.803  0.605  0.539  5.00

Results
**Energy relative to the elements, uncorrected**: -638 meV/atom
**Calculated volume**: 221 Å³/f.u.
**Space group**: No. 36
**Magnetization**: 5.00 μB per formula unit

---

(17)
PuCuBi2Se5: optimized geometry, PBE-GGA.

a = 4.154 Å, b = 10.161 Å, c = 12.771 Å
α = 90.00°, β = 90.00°, γ = 101.79°
Last column: magnetic moment on the atom in μB.
Fractional coordinates of all 18 atoms:
Bi  0.922  0.844  0.759  0.03
Bi  0.078  0.156  0.259  0.03
Bi  0.841  0.681  0.181  0.03
Bi  0.159  0.319  0.681  0.03
Se  0.701  0.402  0.179  -0.06
Se  0.950  0.900  0.548  -0.04
Se  0.515  0.030  0.788  0.00
Se  0.485  0.970  0.288  0.00
Se  0.315  0.631  0.367  -0.08
Se  0.655  0.310  0.528  -0.04
Se  0.345  0.690  0.028  -0.04
Se  0.050  0.100  0.048  -0.04
Se  0.299  0.598  0.679  -0.06
Se  0.685  0.369  0.867  -0.08
Pu  0.802  0.605  0.519  5.09
Pu  0.198  0.395  0.019  5.09
Cu  0.425  0.851  0.456  -0.04
Cu  0.575  0.149  0.956  -0.04

Results
**Energy relative to the elements, uncorrected**: -586 meV/atom
**Calculated volume**: 264 Å³/f.u.
**Space group**: No. 36
**Magnetization**: 4.98 μB per formula unit

---

(18)
RbCu3Bi: optimized geometry, PBE-GGA.

a = 5.177 Å, b = 5.177 Å, c = 5.177 Å
α = 90.00°, β = 90.00°, γ = 90.00°
Fractional coordinates of all 5 atoms:
Cu  0.000  0.500  0.000
Cu  0.500  0.000  0.000
Cu  0.000  0.000  0.500
Bi  0.500  0.500  0.500
Rb  0.000  0.000  0.000

Results
**Energy above the most stable polymorph in this dataset**: 1.088 eV per atom
**ΔE_f**: 1.57 eV per atom
**Calculated volume**: 139 Å³/f.u.
**Space group**: No. 221
**Magnetization**: 0.00 μB per formula unit

---

(19)
Rb2CuBi: optimized geometry, PBE-GGA.

a = 13.457 Å, b = 13.457 Å, c = 9.837 Å
α = 46.84°, β = 46.84°, γ = 90.00°
Fractional coordinates of all 8 atoms:
Cu  0.250  0.750  0.500
Cu  0.500  0.500  0.000
Rb  0.346  0.625  0.250
Rb  0.404  0.125  0.250
Rb  0.375  0.596  0.750
Rb  0.875  0.654  0.750
Bi  0.000  0.000  0.000
Bi  0.750  0.250  0.500

Results
**ΔE_f**: -0.05 eV per atom
**Calculated volume**: 226 Å³/f.u.
**Space group**: No. 122
**Magnetization**: 0.00 μB per formula unit

---

(20)
RbCu2Bi2: optimized geometry, PBE-GGA.

a = 8.879 Å, b = 8.879 Å, c = 3.374 Å
α = 90.00°, β = 90.00°, γ = 90.00°
Fractional coordinates of all 10 atoms:
Bi  0.154  0.654  0.500
Bi  0.654  0.846  0.500
Bi  0.846  0.346  0.500
Bi  0.346  0.154  0.500
Cu  0.603  0.103  0.000
Cu  0.103  0.397  0.000
Cu  0.397  0.897  0.000
Cu  0.897  0.603  0.000
Rb  0.000  0.000  0.000
Rb  0.500  0.500  0.000

Results
**Energy above the most stable polymorph in this dataset**: 0.159 eV per atom
**ΔE_f**: 0.17 eV per atom
**Calculated volume**: 133 Å³/f.u.
**Space group**: No. 127
**Magnetization**: 0.00 μB per formula unit

---

(21)
RbCu2Bi2: optimized geometry, PBE-GGA.

a = 4.913 Å, b = 4.913 Å, c = 6.613 Å
α = 68.19°, β = 68.19°, γ = 90.00°
Fractional coordinates of all 5 atoms:
Bi  0.750  0.250  0.500
Bi  0.250  0.750  0.500
Rb  0.000  0.000  0.000
Cu  0.383  0.383  0.234
Cu  0.617  0.617  0.766

Results
**Energy above the most stable polymorph in this dataset**: 0.092 eV per atom
**ΔE_f**: 0.10 eV per atom
**Calculated volume**: 136 Å³/f.u.
**Space group**: No. 139
**Magnetization**: 0.00 μB per formula unit

---

(22)
Rb2Cu2Bi: optimized geometry, PBE-GGA.

a = 4.770 Å, b = 4.770 Å, c = 7.676 Å
α = 71.90°, β = 71.90°, γ = 90.00°
Fractional coordinates of all 5 atoms:
Rb  0.250  0.750  0.500
Rb  0.750  0.250  0.500
Cu  0.417  0.417  0.165
Cu  0.583  0.583  0.835
Bi  0.000  0.000  0.000

Results
**Energy above the most stable polymorph in this dataset**: 0.498 eV per atom
**ΔE_f**: 0.65 eV per atom
**Calculated volume**: 157 Å³/f.u.
**Space group**: No. 139
**Magnetization**: 0.00 μB per formula unit

---

(23)
RbCu3Bi: optimized geometry, PBE-GGA.

a = 5.270 Å, b = 5.270 Å, c = 5.270 Å
α = 90.00°, β = 90.00°, γ = 90.00°
Fractional coordinates of all 5 atoms:
Cu  0.500  0.000  0.000
Cu  0.000  0.500  0.000
Cu  0.000  0.000  0.500
Bi  0.000  0.000  0.000
Rb  0.500  0.500  0.500

Results
**Energy above the most stable polymorph in this dataset**: 0.000 eV per atom
**ΔE_f**: 0.48 eV per atom
**Calculated volume**: 146 Å³/f.u.
**Space group**: No. 221
**Magnetization**: 0.00 μB per formula unit

---

(24)
RbCu2Bi2: optimized geometry, PBE-GGA.

a = 4.798 Å, b = 4.798 Å, c = 6.860 Å
α = 69.53°, β = 69.53°, γ = 90.00°
Fractional coordinates of all 5 atoms:
Cu  0.750  0.250  0.500
Cu  0.250  0.750  0.500
Rb  0.000  0.000  0.000
Bi  0.364  0.364  0.273
Bi  0.636  0.636  0.727

Results
**Energy above the most stable polymorph in this dataset**: 0.000 eV per atom
**ΔE_f**: 0.01 eV per atom
**Calculated volume**: 137 Å³/f.u.
**Space group**: No. 139
**Magnetization**: 0.00 μB per formula unit

---

(25)
RbCuBi: optimized geometry, PBE-GGA.

a = 4.804 Å, b = 4.804 Å, c = 8.539 Å
α = 90.00°, β = 90.00°, γ = 90.00°
Fractional coordinates of all 6 atoms:
Cu  0.500  0.500  0.500
Cu  0.000  0.000  0.500
Bi  0.500  0.000  0.660
Bi  0.000  0.500  0.340
Rb  0.000  0.500  0.831
Rb  0.500  0.000  0.169

Results
**Energy above the most stable polymorph in this dataset**: 0.000 eV per atom
**ΔE_f**: -0.05 eV per atom
**Calculated volume**: 99 Å³/f.u.
**Space group**: No. 129
**Magnetization**: 0.00 μB per formula unit